Rb3Sm3SbS8 after structural relaxation. Source: Alexandria, functional GGA-PBE.

Cell lengths 8.1902, 8.1913, 9.1612 Å; angles 116.58, 89.99, 120.00 degrees
Atoms (fractional coordinates):
Sm1 0.0000 0.5000 0.5000
Sm2 0.5000 0.5000 0.5000
Sm3 0.5000 0.0000 0.5000
S1 0.2206 0.9663 0.6867
S2 0.2543 0.0337 0.3134
S3 0.2686 0.5372 0.3060
S4 0.7794 0.0337 0.3133
S5 0.7314 0.4628 0.6940
S6 0.7794 0.5588 0.3132
S7 0.7457 0.9663 0.6866
S8 0.2206 0.4412 0.6868
Sb1 0.0000 0.0000 0.5000
Rb1 0.0000 0.5000 0.0000
Rb2 0.0000 0.0000 0.0000
Rb3 0.5000 0.5000 0.0000

Output
Formation energy from raw total energies, eV per atom: -1.496
Energy, eV per atom: -5.1091
Mass density, g cm⁻³: 4.0

Rb2SmSbS4 after structural relaxation. Source: Alexandria, functional GGA-PBE.

Cell lengths 8.6155, 8.6155, 8.6052 Å; angles 119.96, 119.96, 89.98 degrees
Atoms (fractional coordinates):
S1 0.7670 0.7329 0.5347
S2 0.2346 0.6974 0.4660
S3 0.7654 0.3026 0.5340
S4 0.1974 0.7346 0.9660
S5 0.7671 0.7330 0.9653
S6 0.2330 0.2671 0.4653
S7 0.2329 0.2670 0.0347
S8 0.8026 0.2654 0.0340
Sb1 0.5000 0.5000 0.5000
Sb2 0.0000 0.0000 0.0000
Rb1 0.5000 0.0000 0.0000
Rb2 0.0000 0.0000 0.5000
Rb3 0.5000 0.5000 0.0000
Rb4 0.5000 0.0000 0.5000
Sm1 0.0000 0.5000 0.0000
Sm2 0.0000 0.5000 0.5000

Output
Formation energy from raw total energies, eV per atom: -1.206
Energy, eV per atom: -4.6168
Mass density, g cm⁻³: 4.2

Copy entry 1 word for word.
Rb3Sm3SbS8 after structural relaxation. Source: Alexandria, functional GGA-PBE.

Cell lengths 8.1902, 8.1913, 9.1612 Å; angles 116.58, 89.99, 120.00 degrees
Atoms (fractional coordinates):
Sm1 0.0000 0.5000 0.5000
Sm2 0.5000 0.5000 0.5000
Sm3 0.5000 0.0000 0.5000
S1 0.2206 0.9663 0.6867
S2 0.2543 0.0337 0.3134
S3 0.2686 0.5372 0.3060
S4 0.7794 0.0337 0.3133
S5 0.7314 0.4628 0.6940
S6 0.7794 0.5588 0.3132
S7 0.7457 0.9663 0.6866
S8 0.2206 0.4412 0.6868
Sb1 0.0000 0.0000 0.5000
Rb1 0.0000 0.5000 0.0000
Rb2 0.0000 0.0000 0.0000
Rb3 0.5000 0.5000 0.0000

Output
Formation energy from raw total energies, eV per atom: -1.496
Energy, eV per atom: -5.1091
Mass density, g cm⁻³: 4.0

> Which value of formation energy from raw total energies does entry 1 give?

-1.496 eV per atom